[1]
4
Lattice="-2.305 2.305 3.314 2.305 -2.305 3.314 2.305 2.305 -3.314" Properties=species:S:1:pos:R:3 comment="PBE LiBiPd2, optimized geometry" final_energy_ev_per_atom=-4.5276 space_group="I4/mmm (139)" pbc="T T T"
Li 0.000 0.000 0.000
Bi 0.000 0.000 3.314
Pd 2.305 0.000 1.657
Pd 0.000 2.305 1.657


[2]
65
Lattice="10.933 0.000 0.000 0.000 10.933 0.000 0.000 0.000 10.933" Properties=species:S:1:pos:R:3 comment="PBE Si64Ni, optimized geometry" final_energy_ev_per_atom=-5.4173 magmom_total_mub_per_fu=0.0 space_group="P-43m (215)" pbc="T T T"
Si 0.000 0.000 2.724
Si 0.000 0.000 8.209
Si 0.000 2.724 0.000
Si 0.000 2.728 5.467
Si 0.000 5.467 2.728
Si 0.000 5.467 8.205
Si 0.000 8.205 5.467
Si 0.000 8.209 0.000
Si 1.366 1.366 4.093
Si 1.366 4.093 1.366
Si 1.362 4.104 6.829
Si 1.362 6.829 4.104
Si 1.366 6.840 9.567
Si 1.366 9.567 6.840
Si 1.391 1.391 9.542
Si 1.391 9.542 1.391
Si 2.724 0.000 0.000
Si 2.728 0.000 5.467
Si 2.735 2.735 2.735
Si 2.728 5.467 0.000
Si 2.734 5.467 5.467
Si 2.735 8.198 8.198
Si 2.750 2.750 8.183
Si 2.750 8.183 2.750
Si 4.093 1.366 1.366
Si 4.093 9.567 9.567
Si 4.104 1.362 6.829
Si 4.100 4.100 4.100
Si 4.104 4.104 9.571
Si 4.104 6.829 1.362
Si 4.100 6.833 6.833
Si 4.104 9.571 4.104
Si 5.467 0.000 2.728
Si 5.467 0.000 8.205
Si 5.467 2.728 0.000
Si 5.467 2.734 5.467
Si 5.467 5.467 2.734
Si 5.467 5.467 8.199
Si 5.467 8.205 0.000
Si 5.467 8.199 5.467
Si 6.829 1.362 4.104
Si 6.829 4.104 1.362
Si 6.833 4.100 6.833
Si 6.833 6.833 4.100
Si 6.829 6.829 9.571
Si 6.829 9.571 6.829
Si 6.840 1.366 9.567
Si 6.840 9.567 1.366
Si 8.183 2.750 2.750
Si 8.183 8.183 8.183
Si 8.205 0.000 5.467
Si 8.198 2.735 8.198
Si 8.205 5.467 0.000
Si 8.199 5.467 5.467
Si 8.198 8.198 2.735
Si 8.209 0.000 0.000
Si 9.542 1.391 1.391
Si 9.542 9.542 9.542
Si 9.567 1.366 6.840
Si 9.567 4.093 9.567
Si 9.571 4.104 4.104
Si 9.571 6.829 6.829
Si 9.567 6.840 1.366
Si 9.567 9.567 4.093
Ni 0.000 0.000 0.000


[3]
3
Lattice="0.000 2.472 2.472 2.472 0.000 2.472 2.472 2.472 0.000" Properties=species:S:1:pos:R:3 comment="PBE PdN2, optimized geometry" final_energy_ev_per_atom=-5.6225 space_group="Fm-3m (225)" pbc="T T T"
Pd 0.000 0.000 0.000
N 1.236 1.236 1.236
N 3.709 3.709 3.709


[4]
9
Lattice="6.668 0.000 0.000 -3.334 5.774 0.000 0.000 0.000 3.912" Properties=species:S:1:pos:R:3 comment="PBE YCoSi, optimized geometry" final_energy_ev_per_atom=-6.9106 magmom_total_mub_per_fu=0.0 space_group="P-62m (189)" pbc="T T T"
Y -1.927 3.338 0.000
Y 1.407 2.436 0.000
Y 3.854 0.000 0.000
Co -0.753 1.305 1.956
Co 1.506 0.000 1.956
Co 2.581 4.470 1.956
Si 0.000 0.000 0.000
Si 0.000 3.850 1.956
Si 3.334 1.925 1.956